1.
## Sr3Pd2O7 (PBE)

Data for a relaxed Sr3Pd2O7 crystal.

abc: 10.520 10.520 10.520
angles: 158.26 158.26 30.94
Atoms (fractional coordinates):
O (0.000, 0.000, 0.000)
O (0.201, 0.201, 0.000)
O (0.799, 0.799, 0.000)
O (0.591, 0.091, 0.500)
O (0.909, 0.409, 0.500)
O (0.091, 0.591, 0.500)
O (0.409, 0.909, 0.500)
Pd (0.103, 0.103, 0.000)
Pd (0.897, 0.897, 0.000)
Sr (0.319, 0.319, 0.000)
Sr (0.500, 0.500, 0.000)
Sr (0.681, 0.681, 0.000)

Summary:
- Uncorrected energy: -68.9 eV/f.u.



2.
## Sr2PdO4 (PBE)

Data for a relaxed Sr2PdO4 crystal.

abc: 6.821 6.821 6.821
angles: 146.25 146.25 48.48
Atoms (fractional coordinates):
O (0.164, 0.164, 0.000)
O (0.836, 0.836, 0.000)
O (0.500, 0.000, 0.500)
O (0.000, 0.500, 0.500)
Pd (0.000, 0.000, 0.000)
Sr (0.356, 0.356, 0.000)
Sr (0.644, 0.644, 0.000)

Summary:
- Polymorph energy (0 for the lowest one): 0.07 eV/f.u.



3.
## Sr4Pd4O11 (PBE)

Data for a relaxed Sr4Pd4O11 crystal.

abc: 5.549 5.641 7.994
angles: 90.00 90.00 90.16
Atoms (fractional coordinates):
O (0.705, 0.300, 0.052)
O (0.794, 0.788, 0.056)
O (0.407, 0.993, 0.250)
O (0.794, 0.788, 0.444)
O (0.705, 0.300, 0.448)
O (0.195, 0.201, 0.527)
O (0.304, 0.699, 0.530)
O (0.586, 0.016, 0.750)
O (0.947, 0.504, 0.750)
O (0.304, 0.699, 0.970)
O (0.195, 0.201, 0.973)
Pd (0.501, 0.002, 0.002)
Pd (0.998, 0.504, 0.004)
Pd (0.998, 0.504, 0.496)
Pd (0.501, 0.002, 0.498)
Sr (0.978, 0.057, 0.250)
Sr (0.493, 0.549, 0.250)
Sr (0.494, 0.457, 0.750)
Sr (0.019, 0.954, 0.750)

Summary:
- Uncorrected energy: -108.5 eV/f.u.



4.
## Sr3Pd2O5 (PBE)

Data for a relaxed Sr3Pd2O5 crystal.

abc: 10.822 10.822 10.822
angles: 161.53 158.54 28.46
Atoms (fractional coordinates):
O (0.303, 0.303, 0.000)
O (0.500, 0.500, 0.000)
O (0.697, 0.697, 0.000)
O (0.905, 0.405, 0.500)
O (0.095, 0.595, 0.500)
Pd (0.401, 0.401, 0.000)
Pd (0.599, 0.599, 0.000)
Sr (0.000, 0.000, 0.000)
Sr (0.186, 0.186, 0.000)
Sr (0.814, 0.814, 0.000)

Summary:
- Uncorrected energy: -58.8 eV/f.u.



5.
## Sr2PdO4 (PBE)

Data for a relaxed Sr2PdO4 crystal.

abc: 6.869 6.869 6.869
angles: 119.99 90.02 119.99
Atoms (fractional coordinates):
O (0.120, 0.239, 0.359)
O (0.630, 0.261, 0.370)
O (0.109, 0.739, 0.370)
O (0.630, 0.739, 0.370)
O (0.120, 0.761, 0.880)
O (0.120, 0.239, 0.880)
O (0.641, 0.761, 0.880)
O (0.630, 0.261, 0.891)
Pd (0.000, 0.000, 0.000)
Pd (0.750, 0.500, 0.250)
Sr (0.375, 0.750, 0.125)
Sr (0.375, 0.250, 0.625)
Sr (0.375, 0.750, 0.625)
Sr (0.875, 0.250, 0.625)

Summary:
- Polymorph energy (0 for the lowest one): 3.10 eV/f.u.



6.
## SrZn3Pd4O12 (PBE)

Data for a relaxed SrZn3Pd4O12 crystal.

abc: 6.597 6.597 6.597
angles: 109.47 109.47 109.47
Atoms (fractional coordinates):
O (0.822, 0.309, 0.130)
O (0.309, 0.487, 0.178)
O (0.691, 0.870, 0.178)
O (0.487, 0.178, 0.309)
O (0.130, 0.822, 0.309)
O (0.178, 0.309, 0.487)
O (0.822, 0.691, 0.513)
O (0.870, 0.178, 0.691)
O (0.513, 0.822, 0.691)
O (0.309, 0.130, 0.822)
O (0.691, 0.513, 0.822)
O (0.178, 0.691, 0.870)
Pd (0.500, 0.000, 0.000)
Pd (0.000, 0.500, 0.000)
Pd (0.000, 0.000, 0.500)
Pd (0.500, 0.500, 0.500)
Sr (0.000, 0.000, 0.000)
Zn (0.500, 0.500, 0.000)
Zn (0.500, 0.000, 0.500)
Zn (0.000, 0.500, 0.500)

Summary:
- Uncorrected energy: -102.6 eV/f.u.



7.
## Ta2Pd2O5 (PBE)

Data for a relaxed Ta2Pd2O5 crystal.

abc: 8.386 3.408 3.408
angles: 90.00 90.00 90.00
Atoms (fractional coordinates):
O (0.329, 0.500, 0.000)
O (0.671, 0.500, 0.000)
O (0.329, 0.000, 0.500)
O (0.671, 0.000, 0.500)
O (0.500, 0.500, 0.500)
Pd (0.159, 0.500, 0.500)
Pd (0.841, 0.500, 0.500)
Ta (0.000, 0.000, 0.000)
Ta (0.500, 0.000, 0.000)

Summary:
- Polymorph energy (0 for the lowest one): 8.90 eV/f.u.
- Size of the total moment: 1.83 μB/f.u.



8.
## Ta2PdO5 (PBE)

Data for a relaxed Ta2PdO5 crystal.

abc: 6.158 6.158 6.508
angles: 105.36 105.36 51.54
Atoms (fractional coordinates):
O (0.419, 0.909, 0.082)
O (0.910, 0.419, 0.082)
O (0.499, 0.501, 0.250)
O (0.581, 0.090, 0.418)
O (0.091, 0.581, 0.418)
O (0.909, 0.419, 0.582)
O (0.419, 0.910, 0.582)
O (0.501, 0.499, 0.750)
O (0.090, 0.581, 0.918)
O (0.581, 0.091, 0.918)
Pd (0.000, 0.000, 0.000)
Pd (0.000, 0.000, 0.500)
Ta (0.319, 0.320, 0.160)
Ta (0.680, 0.681, 0.340)
Ta (0.320, 0.319, 0.660)
Ta (0.681, 0.680, 0.840)

Summary:
- Uncorrected energy: -70.4 eV/f.u.
- Size of the total moment: 0.00 μB/f.u.